(1)
VASP calculation (PBE-GGA) on a relaxed structure of Ti2ZnP3O12.

Cell lengths 8.556, 8.556, 8.556 Å; angles 60.83, 60.83, 60.83 degrees
Fractional coordinates of all 36 atoms:
Ti1 0.144 0.144 0.144
Ti2 0.356 0.356 0.356
Ti3 0.644 0.644 0.644
Ti4 0.856 0.856 0.856
Zn1 0.000 0.000 0.000
Zn2 0.500 0.500 0.500
P1 0.045 0.750 0.455
P2 0.250 0.545 0.955
P3 0.455 0.045 0.750
P4 0.545 0.955 0.250
P5 0.750 0.455 0.045
P6 0.955 0.250 0.545
O1 0.001 0.817 0.614
O2 0.058 0.911 0.260
O3 0.089 0.740 0.942
O4 0.114 0.317 0.501
O5 0.183 0.386 0.999
O6 0.240 0.589 0.442
O7 0.260 0.058 0.911
O8 0.317 0.501 0.114
O9 0.386 0.999 0.183
O10 0.411 0.558 0.760
O11 0.442 0.240 0.589
O12 0.499 0.886 0.683
O13 0.501 0.114 0.317
O14 0.558 0.760 0.411
O15 0.589 0.442 0.240
O16 0.614 0.001 0.817
O17 0.683 0.499 0.886
O18 0.740 0.942 0.089
O19 0.760 0.411 0.558
O20 0.817 0.614 0.001
O21 0.886 0.683 0.499
O22 0.911 0.260 0.058
O23 0.942 0.089 0.740
O24 0.999 0.183 0.386

Raw total energy, eV/atom: -7.544

(2)
VASP calculation (PBE-GGA) on a relaxed structure of Ti2ZnP2O10.

Cell lengths 9.517, 6.787, 10.419 Å; angles 63.07, 39.48, 77.45 degrees
Fractional coordinates of all 30 atoms:
Ti1 0.042 0.958 0.278
Ti2 0.528 0.972 0.292
Ti3 0.958 0.042 0.722
Ti4 0.972 0.528 0.208
Zn1 0.397 0.397 0.603
Zn2 0.647 0.647 0.853
P1 0.244 0.587 0.386
P2 0.467 0.864 0.663
P3 0.587 0.244 0.783
P4 0.864 0.467 0.006
O1 0.017 0.247 0.268
O2 0.081 0.352 0.590
O3 0.085 0.392 0.874
O4 0.085 0.762 0.437
O5 0.247 0.017 0.468
O6 0.273 0.660 0.898
O7 0.352 0.081 0.977
O8 0.376 0.602 0.165
O9 0.389 0.644 0.392
O10 0.392 0.085 0.648
O11 0.534 0.813 0.488
O12 0.602 0.376 0.858
O13 0.644 0.389 0.575
O14 0.660 0.273 0.169
O15 0.675 0.858 0.606
O16 0.762 0.085 0.716
O17 0.782 0.982 0.003
O18 0.813 0.534 0.165
O19 0.858 0.675 0.861
O20 0.982 0.782 0.233

Raw total energy, eV/atom: -7.555

(3)
VASP calculation (PBE-GGA) on a relaxed structure of TiZnPO2.

Cell lengths 3.740, 3.740, 4.867 Å; angles 90.00, 90.00, 90.00 degrees
Fractional coordinates of all 5 atoms:
Ti1 0.000 0.000 0.000
Zn1 0.500 0.500 0.500
P1 0.500 0.500 0.000
O1 0.000 0.500 0.500
O2 0.500 0.000 0.500

Excess energy over the best structure of this formula in the dataset, kJ/mol of atoms: 98.5

(4)
VASP calculation (PBE-GGA) on a relaxed structure of TiZnPO2.

Cell lengths 3.735, 3.735, 5.412 Å; angles 90.00, 90.00, 90.00 degrees
Fractional coordinates of all 5 atoms:
Ti1 0.000 0.000 0.000
Zn1 0.500 0.500 0.500
P1 0.000 0.000 0.500
O1 0.000 0.500 0.000
O2 0.500 0.000 0.000

Excess energy over the best structure of this formula in the dataset, kJ/mol of atoms: 0.0

(5)
VASP calculation (PBE-GGA) on a relaxed structure of TiZnPO5.

Cell lengths 5.274, 5.595, 7.280 Å; angles 107.23, 107.06, 95.84 degrees
Fractional coordinates of all 16 atoms:
Ti1 0.000 0.000 0.000
Ti2 0.000 0.000 0.500
Zn1 0.250 0.625 0.259
Zn2 0.750 0.375 0.741
P1 0.329 0.618 0.739
P2 0.671 0.382 0.261
O1 0.091 0.921 0.251
O2 0.131 0.659 0.862
O3 0.249 0.740 0.571
O4 0.323 0.327 0.643
O5 0.369 0.278 0.122
O6 0.631 0.722 0.878
O7 0.677 0.673 0.357
O8 0.751 0.260 0.429
O9 0.869 0.341 0.138
O10 0.909 0.079 0.749

Raw total energy, eV/atom: -7.136

(6)
VASP calculation (PBE-GGA) on a relaxed structure of ZrTiP2O.

Cell lengths 4.789, 4.789, 3.678 Å; angles 90.00, 90.00, 90.00 degrees
Fractional coordinates of all 5 atoms:
Zr1 0.000 0.000 0.000
Ti1 0.500 0.500 0.500
P1 0.000 0.500 0.500
P2 0.500 0.000 0.500
O1 0.500 0.500 0.000

Excess energy over the best structure of this formula in the dataset, kJ/mol of atoms: 0.0

(7)
VASP calculation (PBE-GGA) on a relaxed structure of ZrTiP2O.

Cell lengths 5.066, 5.066, 3.929 Å; angles 90.00, 90.00, 90.00 degrees
Fractional coordinates of all 5 atoms:
Zr1 0.000 0.000 0.000
Ti1 0.500 0.500 0.500
P1 0.000 0.500 0.000
P2 0.500 0.000 0.000
O1 0.000 0.000 0.500

Excess energy over the best structure of this formula in the dataset, kJ/mol of atoms: 50.1

(8)
VASP calculation (PBE-GGA) on a relaxed structure of Tl2P2O7.

Cell lengths 6.063, 6.063, 4.839 Å; angles 96.19, 96.19, 107.27 degrees
Fractional coordinates of all 11 atoms:
Tl1 0.192 0.808 0.000
Tl2 0.808 0.192 0.000
P1 0.293 0.293 0.581
P2 0.707 0.707 0.419
O1 0.145 0.410 0.748
O2 0.149 0.149 0.301
O3 0.410 0.145 0.748
O4 0.500 0.500 0.500
O5 0.590 0.855 0.252
O6 0.851 0.851 0.699
O7 0.855 0.590 0.252

Raw total energy, eV/atom: -6.185